[1]
A plane-wave DFT calculation with PBE was carried out for Ac2ZnCd3Ga4 after structural relaxation.

Unit cell a=4.599 b=4.599 c=11.211 alpha=90.00 beta=90.00 gamma=90.00
Positions (direct):
Ga1 0.000 0.000 0.000
Ga2 0.500 0.500 0.000
Ga3 0.500 0.000 0.629
Ga4 0.000 0.500 0.371
Cd1 0.500 0.000 0.866
Cd2 0.000 0.000 0.500
Cd3 0.000 0.500 0.134
Ac1 0.500 0.000 0.254
Ac2 0.000 0.500 0.746
Zn1 0.500 0.500 0.500

energy of formation from the pure elements: -381 meV per atom
N(E_F): 0.394 states/eV/atom
final energy: -2.815 eV/atom
size of the total moment: 0.000 μB per atom

[2]
A plane-wave DFT calculation with PBE was carried out for NdYCdRh after structural relaxation.

Unit cell a=5.149 b=5.149 c=5.149 alpha=60.00 beta=60.00 gamma=60.00
Positions (direct):
Y1 0.750 0.750 0.750
Cd1 0.000 0.000 0.000
Nd1 0.250 0.250 0.250
Rh1 0.500 0.500 0.500

energy of formation from the pure elements: -472 meV per atom
N(E_F): 0.573 states/eV/atom
final energy: -5.347 eV/atom
size of the total moment: 0.000 μB per atom

[3]
A plane-wave DFT calculation with PBE was carried out for LaSnH after structural relaxation.

Unit cell a=5.303 b=3.900 c=3.900 alpha=120.00 beta=90.00 gamma=90.00
Positions (direct):
Sn1 0.334 0.667 0.333
H1 0.833 0.333 0.667
La1 0.834 0.000 0.000

N(E_F): 0.296 states/eV/atom
final energy: -4.651 eV/atom
size of the total moment: 0.000 μB per atom
offset from the most stable computed form: 179 meV per atom

[4]
A plane-wave DFT calculation with PBE was carried out for TlGaO2 after structural relaxation.

Unit cell a=3.508 b=5.523 c=8.691 alpha=111.86 beta=101.49 gamma=71.45
Positions (direct):
Tl1 0.385 0.980 0.163
Tl2 0.177 0.682 0.437
O1 0.799 0.955 0.963
O2 0.496 0.498 0.898
O3 0.066 0.165 0.702
O4 0.762 0.708 0.637
Ga1 0.641 0.096 0.785
Ga2 0.920 0.566 0.815

N(E_F): 0.000 states/eV/atom
final energy: -5.220 eV/atom
size of the total moment: 0.000 μB per atom
offset from the most stable computed form: 13 meV per atom

[5]
A plane-wave DFT calculation with PBE was carried out for RuSN2O after structural relaxation.

Unit cell a=3.665 b=3.665 c=5.135 alpha=90.00 beta=90.00 gamma=90.00
Positions (direct):
Ru1 0.000 0.000 0.000
O1 0.500 0.500 0.500
N1 0.500 0.000 0.000
N2 0.000 0.500 0.000
S1 0.000 0.000 0.500

N(E_F): 0.929 states/eV/atom
final energy: -5.733 eV/atom
size of the total moment: 0.000 μB per atom

[6]
A plane-wave DFT calculation with PBE was carried out for KNa2BiRu after structural relaxation.

Unit cell a=5.643 b=5.175 c=5.643 alpha=90.00 beta=90.00 gamma=90.00
Positions (direct):
Bi1 0.000 0.500 0.000
K1 0.500 0.500 0.500
Na1 0.000 0.000 0.500
Na2 0.500 0.000 0.000
Ru1 0.000 0.000 0.000

energy of formation from the pure elements: 232 meV per atom
N(E_F): 0.548 states/eV/atom
final energy: -3.147 eV/atom
size of the total moment: 0.000 μB per atom

[7]
A plane-wave DFT calculation with PBE was carried out for Rb2CoBr after structural relaxation.

Unit cell a=9.144 b=9.144 c=8.159 alpha=55.92 beta=55.92 gamma=90.00
Positions (direct):
Rb1 0.375 0.355 0.750
Rb2 0.645 0.125 0.250
Rb3 0.105 0.625 0.250
Rb4 0.875 0.895 0.750
Co1 0.250 0.750 0.500
Co2 0.500 0.500 0.000
Br1 0.750 0.250 0.500
Br2 0.000 0.000 0.000

N(E_F): 0.000 states/eV/atom
final energy: -2.684 eV/atom
size of the total moment: 0.500 μB per atom
offset from the most stable computed form: 45 meV per atom

[8]
A plane-wave DFT calculation with PBE was carried out for SmU5As6 after structural relaxation.

Unit cell a=7.133 b=7.133 c=7.093 alpha=99.66 beta=99.66 gamma=120.06
Positions (direct):
U1 0.334 0.666 0.000
U2 0.834 0.166 0.500
U3 0.666 0.334 0.000
U4 0.500 0.500 0.500
U5 0.166 0.834 0.500
As1 0.747 0.747 0.252
As2 0.084 0.422 0.252
As3 0.253 0.253 0.748
As4 0.578 0.916 0.748
As5 0.422 0.084 0.252
As6 0.916 0.578 0.748
Sm1 0.000 0.000 0.000

energy of formation from the pure elements: -850 meV per atom
N(E_F): 2.414 states/eV/atom
final energy: -8.271 eV/atom
size of the total moment: 1.046 μB per atom